Entry P
# Mg4SiGe, optimized geometry, DFT GGA-PBE
data_Mg4SiGe
_chemical_formula_sum 'Mg4 Si1 Ge1'
_cell_length_a 4.516
_cell_length_b 4.516
_cell_length_c 6.382
_cell_angle_alpha 90.00
_cell_angle_beta 90.00
_cell_angle_gamma 90.00
_symmetry_space_group_name_H-M 'P 1'
_symmetry_Int_Tables_number 1
_symmetry_space_group_name_Hall 'P 1'
loop_
_atom_site_label
_atom_site_type_symbol
_atom_site_fract_x
_atom_site_fract_y
_atom_site_fract_z
Mg1 Mg 0.500 0.000 0.251
Mg2 Mg 0.000 0.500 0.251
Mg3 Mg 0.500 0.000 0.749
Mg4 Mg 0.000 0.500 0.749
Si1 Si 0.500 0.500 0.500
Ge1 Ge 0.000 0.000 0.000
# Space-group type: P4/mmm, No. 123
# Spin magnetization (Bohr magnetons per cell): 0.00

=====

Entry Q
# Mg4SiGe, optimized geometry, DFT GGA-PBE
data_Mg4SiGe
_chemical_formula_sum 'Mg4 Si1 Ge1'
_cell_length_a 5.639
_cell_length_b 5.639
_cell_length_c 5.639
_cell_angle_alpha 60.00
_cell_angle_beta 60.00
_cell_angle_gamma 60.00
_symmetry_space_group_name_H-M 'P 1'
_symmetry_Int_Tables_number 1
_symmetry_space_group_name_Hall 'P 1'
loop_
_atom_site_label
_atom_site_type_symbol
_atom_site_fract_x
_atom_site_fract_y
_atom_site_fract_z
Mg1 Mg 0.625 0.125 0.625
Mg2 Mg 0.625 0.625 0.125
Mg3 Mg 0.125 0.625 0.625
Mg4 Mg 0.625 0.625 0.625
Si1 Si 0.000 0.000 0.000
Ge1 Ge 0.250 0.250 0.250
# Space-group type: F-43m, No. 216
# Spin magnetization (Bohr magnetons per cell): 0.00

=====

Tell me which of them is the most stable. Sure, it is entry P.

=====

Entry P
# MgSiGe3, optimized geometry, DFT GGA-PBE
data_MgSiGe3
_chemical_formula_sum 'Mg1 Si1 Ge3'
_cell_length_a 4.826
_cell_length_b 4.826
_cell_length_c 4.826
_cell_angle_alpha 90.00
_cell_angle_beta 90.00
_cell_angle_gamma 90.00
_symmetry_space_group_name_H-M 'P 1'
_symmetry_Int_Tables_number 1
_symmetry_space_group_name_Hall 'P 1'
loop_
_atom_site_label
_atom_site_type_symbol
_atom_site_fract_x
_atom_site_fract_y
_atom_site_fract_z
Ge1 Ge 0.000 0.500 0.000
Ge2 Ge 0.500 0.000 0.000
Ge3 Ge 0.000 0.000 0.500
Mg1 Mg 0.500 0.500 0.500
Si1 Si 0.000 0.000 0.000
# Space-group type: Pm-3m, No. 221
# Spin magnetization (Bohr magnetons per cell): 0.00

=====

Entry Q
# MgSiGe3, optimized geometry, DFT GGA-PBE
data_MgSiGe3
_chemical_formula_sum 'Mg1 Si1 Ge3'
_cell_length_a 4.957
_cell_length_b 4.957
_cell_length_c 4.957
_cell_angle_alpha 90.00
_cell_angle_beta 90.00
_cell_angle_gamma 90.00
_symmetry_space_group_name_H-M 'P 1'
_symmetry_Int_Tables_number 1
_symmetry_space_group_name_Hall 'P 1'
loop_
_atom_site_label
_atom_site_type_symbol
_atom_site_fract_x
_atom_site_fract_y
_atom_site_fract_z
Mg1 Mg 0.000 0.000 0.000
Ge1 Ge 0.000 0.500 0.000
Ge2 Ge 0.500 0.000 0.000
Ge3 Ge 0.000 0.000 0.500
Si1 Si 0.500 0.500 0.500
# Space-group type: Pm-3m, No. 221
# Spin magnetization (Bohr magnetons per cell): 0.00

=====

Tell me which of them is the most stable. Sure, it is entry P.

=====

Entry P
# Mg2SiGe2, optimized geometry, DFT GGA-PBE
data_Mg2SiGe2
_chemical_formula_sum 'Mg4 Si2 Ge4'
_cell_length_a 6.882
_cell_length_b 6.882
_cell_length_c 4.088
_cell_angle_alpha 90.00
_cell_angle_beta 90.00
_cell_angle_gamma 90.00
_symmetry_space_group_name_H-M 'P 1'
_symmetry_Int_Tables_number 1
_symmetry_space_group_name_Hall 'P 1'
loop_
_atom_site_label
_atom_site_type_symbol
_atom_site_fract_x
_atom_site_fract_y
_atom_site_fract_z
Si1 Si 0.000 0.000 0.000
Si2 Si 0.500 0.500 0.000
Ge1 Ge 0.633 0.133 0.000
Ge2 Ge 0.367 0.867 0.000
Ge3 Ge 0.867 0.633 0.000
Ge4 Ge 0.133 0.367 0.000
Mg1 Mg 0.326 0.174 0.500
Mg2 Mg 0.826 0.326 0.500
Mg3 Mg 0.174 0.674 0.500
Mg4 Mg 0.674 0.826 0.500
# Space-group type: P4/mbm, No. 127
# Spin magnetization (Bohr magnetons per cell): 0.00

=====

Entry Q
# Mg2SiGe2, optimized geometry, DFT GGA-PBE
data_Mg2SiGe2
_chemical_formula_sum 'Mg2 Si1 Ge2'
_cell_length_a 4.414
_cell_length_b 4.414
_cell_length_c 6.272
_cell_angle_alpha 69.40
_cell_angle_beta 69.40
_cell_angle_gamma 90.00
_symmetry_space_group_name_H-M 'P 1'
_symmetry_Int_Tables_number 1
_symmetry_space_group_name_Hall 'P 1'
loop_
_atom_site_label
_atom_site_type_symbol
_atom_site_fract_x
_atom_site_fract_y
_atom_site_fract_z
Mg1 Mg 0.750 0.250 0.500
Mg2 Mg 0.250 0.750 0.500
Ge1 Ge 0.608 0.608 0.784
Ge2 Ge 0.392 0.392 0.216
Si1 Si 0.000 0.000 0.000
# Space-group type: I4/mmm, No. 139
# Spin magnetization (Bohr magnetons per cell): 0.00

=====

Tell me which of them is the most stable. Sure, it is entry P.

=====

Entry P
# SmMgGe2, optimized geometry, DFT GGA-PBE
data_SmMgGe2
_chemical_formula_sum 'Sm4 Mg4 Ge8'
_cell_length_a 3.940
_cell_length_b 8.126
_cell_length_c 10.950
_cell_angle_alpha 90.00
_cell_angle_beta 90.00
_cell_angle_gamma 90.00
_symmetry_space_group_name_H-M 'P 1'
_symmetry_Int_Tables_number 1
_symmetry_space_group_name_Hall 'P 1'
loop_
_atom_site_label
_atom_site_type_symbol
_atom_site_fract_x
_atom_site_fract_y
_atom_site_fract_z
Ge1 Ge 0.750 0.833 0.806
Ge2 Ge 0.750 0.247 0.049
Ge3 Ge 0.250 0.667 0.306
Ge4 Ge 0.250 0.167 0.194
Ge5 Ge 0.750 0.333 0.694
Ge6 Ge 0.250 0.253 0.549
Ge7 Ge 0.750 0.747 0.451
Ge8 Ge 0.250 0.753 0.951
Mg1 Mg 0.750 0.513 0.895
Mg2 Mg 0.250 0.487 0.105
Mg3 Mg 0.250 0.987 0.395
Mg4 Mg 0.750 0.013 0.605
Sm1 Sm 0.750 0.878 0.146
Sm2 Sm 0.250 0.622 0.646
Sm3 Sm 0.250 0.122 0.854
Sm4 Sm 0.750 0.378 0.354
# Space-group type: Pnma, No. 62
# Spin magnetization (Bohr magnetons per cell): 0.00

=====

Entry Q
# SmMgGe2, optimized geometry, DFT GGA-PBE
data_SmMgGe2
_chemical_formula_sum 'Sm1 Mg1 Ge2'
_cell_length_a 3.604
_cell_length_b 3.604
_cell_length_c 6.569
_cell_angle_alpha 90.00
_cell_angle_beta 90.00
_cell_angle_gamma 90.00
_symmetry_space_group_name_H-M 'P 1'
_symmetry_Int_Tables_number 1
_symmetry_space_group_name_Hall 'P 1'
loop_
_atom_site_label
_atom_site_type_symbol
_atom_site_fract_x
_atom_site_fract_y
_atom_site_fract_z
Ge1 Ge 0.000 0.000 0.208
Ge2 Ge 0.000 0.000 0.792
Sm1 Sm 0.500 0.500 0.500
Mg1 Mg 0.500 0.500 0.000
# Space-group type: P4/mmm, No. 123
# Spin magnetization (Bohr magnetons per cell): 0.00

=====

Tell me which of them is the most stable. Sure, it is entry P.

=====

Entry P
# SmMgGe2, optimized geometry, DFT GGA-PBE
data_SmMgGe2
_chemical_formula_sum 'Sm1 Mg1 Ge2'
_cell_length_a 4.511
_cell_length_b 4.511
_cell_length_c 5.693
_cell_angle_alpha 66.66
_cell_angle_beta 66.66
_cell_angle_gamma 60.00
_symmetry_space_group_name_H-M 'P 1'
_symmetry_Int_Tables_number 1
_symmetry_space_group_name_Hall 'P 1'
loop_
_atom_site_label
_atom_site_type_symbol
_atom_site_fract_x
_atom_site_fract_y
_atom_site_fract_z
Sm1 Sm 0.500 0.500 0.500
Ge1 Ge 0.730 0.730 0.810
Ge2 Ge 0.270 0.270 0.190
Mg1 Mg 0.000 0.000 0.000
# Space-group type: R-3m, No. 166
# Spin magnetization (Bohr magnetons per cell): 0.00

=====

Entry Q
# SmMgGe2, optimized geometry, DFT GGA-PBE
data_SmMgGe2
_chemical_formula_sum 'Sm1 Mg1 Ge2'
_cell_length_a 4.154
_cell_length_b 4.531
_cell_length_c 4.531
_cell_angle_alpha 90.00
_cell_angle_beta 90.00
_cell_angle_gamma 90.00
_symmetry_space_group_name_H-M 'P 1'
_symmetry_Int_Tables_number 1
_symmetry_space_group_name_Hall 'P 1'
loop_
_atom_site_label
_atom_site_type_symbol
_atom_site_fract_x
_atom_site_fract_y
_atom_site_fract_z
Ge1 Ge 0.000 0.000 0.500
Ge2 Ge 0.000 0.500 0.000
Sm1 Sm 0.500 0.500 0.500
Mg1 Mg 0.500 0.000 0.000
# Space-group type: P4/mmm, No. 123
# Spin magnetization (Bohr magnetons per cell): 0.00

=====

Tell me which of them is the most stable. Sure, it is entry Q.

=====

Entry P
# SmMg2Ge2, optimized geometry, DFT GGA-PBE
data_SmMg2Ge2
_chemical_formula_sum 'Sm1 Mg2 Ge2'
_cell_length_a 4.273
_cell_length_b 4.273
_cell_length_c 6.663
_cell_angle_alpha 71.34
_cell_angle_beta 71.34
_cell_angle_gamma 89.94
_symmetry_space_group_name_H-M 'P 1'
_symmetry_Int_Tables_number 1
_symmetry_space_group_name_Hall 'P 1'
loop_
_atom_site_label
_atom_site_type_symbol
_atom_site_fract_x
_atom_site_fract_y
_atom_site_fract_z
Sm1 Sm 0.000 0.000 0.000
Ge1 Ge 0.393 0.393 0.212
Ge2 Ge 0.607 0.607 0.788
Mg1 Mg 0.750 0.250 0.500
Mg2 Mg 0.250 0.750 0.500
# Space-group type: I4/mmm, No. 139
# Spin magnetization (Bohr magnetons per cell): 0.00

=====

Entry Q
# SmMg2Ge2, optimized geometry, DFT GGA-PBE
data_SmMg2Ge2
_chemical_formula_sum 'Sm2 Mg4 Ge4'
_cell_length_a 4.470
_cell_length_b 4.664
_cell_length_c 10.757
_cell_angle_alpha 93.45
_cell_angle_beta 90.00
_cell_angle_gamma 90.00
_symmetry_space_group_name_H-M 'P 1'
_symmetry_Int_Tables_number 1
_symmetry_space_group_name_Hall 'P 1'
loop_
_atom_site_label
_atom_site_type_symbol
_atom_site_fract_x
_atom_site_fract_y
_atom_site_fract_z
Sm1 Sm 0.750 0.298 0.765
Sm2 Sm 0.250 0.702 0.235
Ge1 Ge 0.750 0.232 0.354
Ge2 Ge 0.250 0.768 0.646
Ge3 Ge 0.250 0.331 0.995
Ge4 Ge 0.750 0.669 0.005
Mg1 Mg 0.250 0.827 0.886
Mg2 Mg 0.750 0.173 0.114
Mg3 Mg 0.750 0.751 0.499
Mg4 Mg 0.250 0.249 0.501
# Space-group type: P2_1/m, No. 11
# Spin magnetization (Bohr magnetons per cell): 0.00

=====

Tell me which of them is the most stable. Sure, it is entry P.